DFT (GGA-PBE) results for a relaxed structure of SbTeIr2.

## Properties
space-group type	Pmmm, No. 47
E above lowest polymorph	1.27	eV per formula unit
formation energy (no corrections)	0.3901	eV per atom

Cell and atoms, written as CIF:
```
data_SbTeIr2
_symmetry_space_group_name_H-M 'P 1'
_symmetry_Int_Tables_number 1
_cell_length_a 3.1284
_cell_length_b 3.4727
_cell_length_c 6.9865
_cell_angle_alpha 90.00
_cell_angle_beta 90.00
_cell_angle_gamma 90.00
loop_
_symmetry_equiv_pos_as_xyz
'x,y,z'
loop_
_atom_site_label
_atom_site_fract_x
_atom_site_fract_y
_atom_site_fract_z
_atom_site_occupancy
Sb1 0.0000 0.0000 0.0000 1
Te1 0.0000 0.0000 0.5000 1
Ir1 0.5000 0.5000 0.2175 1
Ir2 0.5000 0.5000 0.7825 1
```

=====

DFT (GGA-PBE) results for a relaxed structure of Na2LiFe.

## Properties
space-group type	Fm-3m, No. 225
ΔH_f (0 K)	0.666	eV/atom

Cell and atoms, written as CIF:
```
data_Na2LiFe
_symmetry_space_group_name_H-M 'P 1'
_symmetry_Int_Tables_number 1
_cell_length_a 7.1846
_cell_length_b 7.1846
_cell_length_c 7.1846
_cell_angle_alpha 90.00
_cell_angle_beta 90.00
_cell_angle_gamma 90.00
loop_
_symmetry_equiv_pos_as_xyz
'x,y,z'
loop_
_atom_site_label
_atom_site_fract_x
_atom_site_fract_y
_atom_site_fract_z
_atom_site_occupancy
Na1 0.2500 0.2500 0.2500 1
Na2 0.2500 0.2500 0.7500 1
Na3 0.2500 0.7500 0.2500 1
Na4 0.2500 0.7500 0.7500 1
Na5 0.7500 0.2500 0.2500 1
Na6 0.7500 0.2500 0.7500 1
Na7 0.7500 0.7500 0.2500 1
Na8 0.7500 0.7500 0.7500 1
Li1 0.0000 0.0000 0.0000 1
Li2 0.0000 0.5000 0.5000 1
Li3 0.5000 0.0000 0.5000 1
Li4 0.5000 0.5000 0.0000 1
Fe1 0.0000 0.0000 0.5000 1
Fe2 0.0000 0.5000 0.0000 1
Fe3 0.5000 0.0000 0.0000 1
Fe4 0.5000 0.5000 0.5000 1
```

=====

DFT (GGA-PBE) results for a relaxed structure of NbCoTe2I.

## Properties
space-group type	P4/mmm, No. 123
E above lowest polymorph	0.00	eV per formula unit
formation energy (no corrections)	0.7493	eV per atom

Cell and atoms, written as CIF:
```
data_NbCoTe2I
_symmetry_space_group_name_H-M 'P 1'
_symmetry_Int_Tables_number 1
_cell_length_a 4.9788
_cell_length_b 4.9788
_cell_length_c 5.1636
_cell_angle_alpha 90.00
_cell_angle_beta 90.00
_cell_angle_gamma 90.00
loop_
_symmetry_equiv_pos_as_xyz
'x,y,z'
loop_
_atom_site_label
_atom_site_fract_x
_atom_site_fract_y
_atom_site_fract_z
_atom_site_occupancy
Nb1 0.0000 0.0000 0.0000 1
Co1 0.5000 0.5000 0.5000 1
Te1 0.0000 0.5000 0.5000 1
Te2 0.5000 0.0000 0.5000 1
I1 0.5000 0.5000 0.0000 1
```